{
  "formula": "BaNb3Tc",
  "functional": "PBE-GGA",
  "state": "relaxed",
  "mass_density_g_cm3": 6.96,
  "final_energy_ev_per_atom": -5.5508,
  "e_above_lowest_polymorph_mev_per_atom": 2019,
  "delta_e_f_ev_per_atom": 2.949,
  "magmom_total_mub_per_fu": 0.000,
  "lattice": [[-0.398, -4.017, -2.896], [-2.312, -2.419, 3.673], [-4.379, 1.642, -1.676]],
  "species": ["Nb", "Ba", "Tc", "Nb", "Nb"],
  "frac_coords": [[0.000, 0.000, 0.500], [0.000, 0.000, 0.000], [0.500, 0.500, 0.500], [0.000, 0.500, 0.000], [0.500, 0.000, 0.000]]
}